Here is an optimized crystal structure of Ce3PrN from Alexandria. Energies are from PBE-GGA.

Results
Formation energy without anion corrections, eV per atom: -0.514
V, Å³/cell: 122.4

```
5
Lattice="4.965 0.000 0.000 0.000 4.965 0.000 0.000 0.000 4.965" Properties=species:S:1:pos:R:3 pbc="T T T"
Ce 0.000 0.000 2.483
Ce 0.000 2.483 0.000
Ce 2.483 0.000 0.000
Pr 2.483 2.483 2.483
N 0.000 0.000 0.000
```

---

Here is an optimized crystal structure of CePr8N6 from Alexandria. Energies are from PBE-GGA.

Results
Formation energy without anion corrections, eV per atom: -1.054
V, Å³/cell: 330.1

```
15
Lattice="3.187 1.840 9.382 -3.187 1.840 9.382 0.000 -3.680 9.382" Properties=species:S:1:pos:R:3 pbc="T T T"
Ce 0.000 0.000 0.000
Pr -2.113 -0.022 12.233
Pr -1.037 -1.841 15.914
Pr 0.000 0.000 9.384
Pr 1.076 -1.819 12.233
Pr -1.076 1.819 15.914
Pr 0.000 0.000 18.763
Pr 1.037 1.841 12.233
Pr 2.113 0.022 15.914
N -1.025 -1.902 10.931
N -2.160 -0.063 17.216
N -1.134 1.839 10.931
N 1.134 -1.839 17.216
N 2.160 0.063 10.931
N 1.025 1.902 17.216
```

---

Here is an optimized crystal structure of CePr4N4 from Alexandria. Energies are from PBE-GGA.

Results
Formation energy without anion corrections, eV per atom: -1.195
V, Å³/cell: 176.4

```
9
Lattice="6.126 -1.827 0.000 6.126 1.827 0.000 -4.543 0.000 7.880" Properties=species:S:1:pos:R:3 pbc="T T T"
Ce 0.000 0.000 0.000
Pr -1.166 0.000 6.396
Pr 2.028 0.000 4.842
Pr 5.682 0.000 3.037
Pr 8.876 0.000 1.483
N 1.033 0.000 2.337
N 4.534 0.000 0.706
N 3.176 0.000 7.173
N 6.678 0.000 5.542
```

---

Here is an optimized crystal structure of CePr5N4 from Alexandria. Energies are from PBE-GGA.

Results
Formation energy without anion corrections, eV per atom: -1.054
V, Å³/cell: 214.1

```
10
Lattice="8.026 -1.818 0.000 8.026 1.818 0.000 -1.642 0.000 7.336" Properties=species:S:1:pos:R:3 pbc="T T T"
Ce 0.000 0.000 0.000
Pr -0.821 0.000 3.668
Pr 5.144 0.000 1.114
Pr 4.358 0.000 5.092
Pr 10.052 0.000 2.245
Pr 9.265 0.000 6.222
N 2.474 0.000 0.580
N 6.758 0.000 5.613
N 7.651 0.000 1.723
N 11.936 0.000 6.756
```